Computed, not measured: an optimized crystal structure of MnHg2W at the GGA-PBE level of DFT.

E_tot = -5.0098 eV/atom
Distance to the lowest polymorph of the same formula = 212.3 meV per atom
Formation energy = 0.672 eV per atom

```
4
Lattice="2.9428 -4.2843 0.0000 2.9428 4.2843 0.0000 0.0000 0.0000 2.8612" Properties=species:S:1:pos:R:3 pbc="T T T"
Mn 0.0000 0.0000 0.0000
Hg 1.4714 2.1421 1.4306
Hg 1.4714 -2.1421 1.4306
W 2.9428 0.0000 0.0000
```